Entry 1:
La3P4Pd7 | PBE | relaxed

Results
The calculation puts the formation energy at -0.974 eV/atom. As for the crystal system: monoclinic. As for the total energy: -86.4 eV/f.u.

a = 15.894 Å, b = 4.123 Å, c = 9.648 Å
α = 90.00°, β = 126.23°, γ = 90.00°
Space group C2/m (No. 12)
Unique sites:
La1 0.000 0.000 0.000 x2
La2 0.180 0.500 0.677 x4
P1 0.105 0.000 0.820 x4
P2 0.161 0.500 0.265 x4
Pd1 0.000 0.000 0.500 x2
Pd2 0.008 0.500 0.279 x4
Pd3 0.165 0.000 0.416 x4
Pd4 0.195 0.500 0.030 x4

Entry 2:
Sc3InRu4 | PBE | relaxed

Results
The calculation puts the formation energy at -0.416 eV/atom. As for the crystal system: trigonal. As for the total energy: -62.2 eV/f.u.

a = 4.5498 Å, b = 4.5498 Å, c = 22.2414 Å
α = 90.00°, β = 90.00°, γ = 120.00°
Space group R-3m (No. 166, hexagonal axes)
Unique sites:
Sc1 0.0000 0.0000 0.0000 x3
Sc2 0.0000 0.0000 0.2486 x6
In1 0.0000 0.0000 0.5000 x3
Ru1 0.0000 0.0000 0.1239 x6
Ru2 0.0000 0.0000 0.3748 x6

Entry 3:
Cr7Se | PBE | relaxed

Results
As for the crystal system: cubic. As for the total energy: -67.5 eV/f.u.

a = 7.304 Å, b = 7.304 Å, c = 7.304 Å
α = 90.00°, β = 90.00°, γ = 90.00°
Space group Fm-3m (No. 225)
Unique sites:
Cr1 0.000 0.000 0.000 x4
Cr2 0.000 0.250 0.250 x24
Se1 0.000 0.000 0.500 x4

Entry 4:
PtSeO2 | PBE | relaxed

Results
As for the crystal system: trigonal. As for the total energy: -19.0 eV/f.u.

a = 2.8909 Å, b = 2.8909 Å, c = 20.9074 Å
α = 90.00°, β = 90.00°, γ = 120.00°
Space group R-3m (No. 166, hexagonal axes)
Unique sites:
Pt1 0.0000 0.0000 0.0000 x3
Se1 0.0000 0.0000 0.5000 x3
O1 0.0000 0.0000 0.0951 x6

Entry 5:
NdNi4Ge | PBE | relaxed

Results
The calculation puts the formation energy at -0.249 eV/atom. As for the crystal system: cubic. As for the total energy: -34.0 eV/f.u.

a = 7.043 Å, b = 7.043 Å, c = 7.043 Å
α = 90.00°, β = 90.00°, γ = 90.00°
Space group F-43m (No. 216)
Unique sites:
Nd1 0.000 0.000 0.000 x4
Ni1 0.124 0.124 0.624 x16
Ge1 0.250 0.250 0.250 x4

Entry 6:
CePmPt6 | PBE | relaxed

Results
The calculation puts the formation energy at -0.675 eV/atom. As for the crystal system: cubic. As for the total energy: -52.3 eV/f.u.

a = 5.363 Å, b = 5.363 Å, c = 5.363 Å
α = 90.00°, β = 90.00°, γ = 90.00°
Space group Pm-3 (No. 200)
Unique sites:
Ce1 0.000 0.000 0.000 x1
Pm1 0.500 0.500 0.500 x1
Pt1 0.000 0.500 0.248 x6